First-principles (PBEsol) data for a geometry-optimized LiFe3Cu structure, as listed in Alexandria.

Geometry as POSCAR:
```
LiFe3Cu
1.0
4.377 0.000 0.000
0.000 4.377 0.000
0.000 0.000 4.377
Fe Cu Li
3 1 1
Cartesian
0.000 2.189 0.000 Fe
0.000 0.000 2.189 Fe
2.189 0.000 0.000 Fe
0.000 0.000 0.000 Cu
2.189 2.189 2.189 Li
```

***

First-principles (PBEsol) data for a geometry-optimized Li2SbO2 structure, as listed in Alexandria.

Values from the calculation:
formation energy from raw total energies	-0.760	eV/atom

Geometry as POSCAR:
```
Li2SbO2
1.0
-1.186 -2.462 -0.368
5.203 -2.828 2.152
-2.299 0.232 5.862
Sb O Li
2 4 4
Cartesian
0.000 0.000 0.000 Sb
1.452 -1.298 4.007 Sb
-1.214 -1.588 4.207 O
1.076 -2.971 6.079 O
2.932 -3.470 3.440 O
0.642 -2.088 1.568 O
-0.043 -0.873 5.984 Li
3.160 -2.348 5.525 Li
2.947 -1.723 2.030 Li
-0.257 -0.248 2.489 Li
```

***

First-principles (PBEsol) data for a geometry-optimized ReRuC3 structure, as listed in Alexandria.

Geometry as POSCAR:
```
ReRuC3
1.0
3.952 0.000 0.000
0.000 3.952 0.000
0.000 0.000 3.952
Re C Ru
1 3 1
Cartesian
0.000 0.000 0.000 Re
0.000 1.976 0.000 C
0.000 0.000 1.976 C
1.976 0.000 0.000 C
1.976 1.976 1.976 Ru
```

***

First-principles (PBEsol) data for a geometry-optimized BeRe3N structure, as listed in Alexandria.

Values from the calculation:
formation energy from raw total energies	0.384	eV/atom

Geometry as POSCAR:
```
BeRe3N
1.0
-0.662 -3.443 -1.873
2.354 1.169 -2.982
3.133 -1.606 1.845
Re Be N
3 1 1
Cartesian
1.177 0.585 -1.491 Re
1.567 -0.803 0.922 Re
-0.331 -1.722 -0.936 Re
2.413 -1.940 -1.505 Be
0.000 0.000 0.000 N
```

***

First-principles (PBEsol) data for a geometry-optimized TmGe2Rh2 structure, as listed in Alexandria.

Geometry as POSCAR:
```
TmGe2Rh2
1.0
4.056 0.000 0.000
0.000 4.056 0.000
-2.028 -2.028 5.088
Ge Tm Rh
2 1 2
Cartesian
2.028 2.028 1.222 Ge
0.000 0.000 3.867 Ge
0.000 0.000 0.000 Tm
0.000 2.028 2.544 Rh
2.028 0.000 2.544 Rh
```

***

First-principles (PBEsol) data for a geometry-optimized CrGeBiC2 structure, as listed in Alexandria.

Geometry as POSCAR:
```
CrGeBiC2
1.0
-0.723 -0.251 4.353
-0.470 -4.382 -0.331
5.369 -0.641 0.854
C Cr Ge Bi
2 1 1 1
Cartesian
-0.235 -2.191 -0.165 C
-0.361 -0.126 2.177 C
2.088 -2.637 2.438 Cr
2.685 -0.320 0.427 Ge
0.000 0.000 0.000 Bi
```

***

First-principles (PBEsol) data for a geometry-optimized CdFe2Cu structure, as listed in Alexandria.

Geometry as POSCAR:
```
CdFe2Cu
1.0
3.654 0.000 0.000
0.000 3.654 0.000
-1.827 -1.827 3.947
Cd Cu Fe
1 1 2
Cartesian
1.827 1.827 0.000 Cd
0.000 0.000 0.000 Cu
1.827 0.000 1.974 Fe
0.000 1.827 1.974 Fe
```

***

First-principles (PBEsol) data for a geometry-optimized Mg2IrNO structure, as listed in Alexandria.

Values from the calculation:
formation energy from raw total energies	0.022	eV/atom

Geometry as POSCAR:
```
Mg2IrNO
1.0
-2.570 -2.530 0.324
1.939 -1.420 4.288
-2.869 3.217 2.363
Mg Ir O N
2 1 1 1
Cartesian
-1.434 1.609 1.182 Mg
0.970 -0.710 2.144 Mg
0.000 0.000 0.000 Ir
-1.750 -0.366 3.488 O
-1.285 -1.265 0.162 N
```

***

First-principles (PBEsol) data for a geometry-optimized NiRuAu2 structure, as listed in Alexandria.

Values from the calculation:
E above lowest polymorph	228	meV/atom

Geometry as POSCAR:
```
NiRuAu2
1.0
4.375 0.000 0.000
2.187 3.789 0.000
2.187 1.263 3.572
Au Ni Ru
2 1 1
Cartesian
0.000 0.000 0.000 Au
6.562 3.789 2.679 Au
4.375 2.526 1.786 Ni
2.187 1.263 0.893 Ru
```

***

First-principles (PBEsol) data for a geometry-optimized SrTlN2O structure, as listed in Alexandria.

Values from the calculation:
formation energy from raw total energies	1.011	eV/atom

Geometry as POSCAR:
```
SrTlN2O
1.0
4.524 0.000 0.000
0.000 4.934 0.000
0.000 0.000 4.934
Sr Tl O N
1 1 1 2
Cartesian
0.000 0.000 0.000 Sr
2.262 2.467 2.467 Tl
2.262 0.000 0.000 O
0.000 0.000 2.467 N
0.000 2.467 0.000 N
```

***

First-principles (PBEsol) data for a geometry-optimized CaP2Os structure, as listed in Alexandria.

Values from the calculation:
E above lowest polymorph	111	meV/atom

Geometry as POSCAR:
```
CaP2Os
1.0
-0.161 2.598 -1.767
-2.954 -0.728 -0.802
-2.224 3.358 5.142
Ca Os P
1 1 2
Cartesian
-1.069 1.614 2.472 Ca
-3.409 3.731 2.997 Os
-2.191 3.309 5.067 P
-2.005 1.612 -0.248 P
```

***

First-principles (PBEsol) data for a geometry-optimized Cr2CdCoPb structure, as listed in Alexandria.

Geometry as POSCAR:
```
Cr2CdCoPb
1.0
-3.590 0.988 3.542
-3.647 -1.594 -3.251
0.487 -4.911 1.862
Pb Cr Co Cd
1 2 1 1
Cartesian
0.000 0.000 0.000 Pb
-1.823 -0.797 -1.626 Cr
-1.795 0.494 1.771 Cr
-3.375 -2.759 1.077 Co
0.243 -2.455 0.931 Cd
```

***

In the order shown, the computed E values come out to -27.1; -45.6; -41.3; -50.6; -35.5; -24.4; -22.2; -26.9; -22.4; -21.7; -26.5; -23.3 eV per cell.